1.
# La2PmErTm4 | Alexandria | PBE-GGA | relaxed
data_La2PmErTm4
_cell_length_a 9.5060
_cell_length_b 9.5060
_cell_length_c 9.5060
_cell_angle_alpha 138.22
_cell_angle_beta 102.91
_cell_angle_gamma 91.77
_space_group_name_H-M_alt 'P 1'
_space_group_IT_number 1
loop_
_space_group_symop_operation_xyz
'x,y,z'
loop_
_atom_site_label
_atom_site_type_symbol
_atom_site_fract_x
_atom_site_fract_y
_atom_site_fract_z
La1 La 0.0000 0.0000 0.0000
La2 La 0.5000 0.0000 0.0000
La3 La 0.5000 0.0000 0.5000
La4 La 0.5000 0.5000 0.5000
Pm1 Pm 0.0000 0.5000 0.5000
Pm2 Pm 0.5000 0.5000 0.0000
Er1 Er 0.0000 0.0000 0.5000
Er2 Er 0.0000 0.5000 0.0000
Tm1 Tm 0.2438 0.2499 0.9939
Tm2 Tm 0.2440 0.7501 0.4939
Tm3 Tm 0.2451 0.2466 0.5015
Tm4 Tm 0.2451 0.7436 0.9985
Tm5 Tm 0.7549 0.2564 0.0015
Tm6 Tm 0.7549 0.7534 0.4985
Tm7 Tm 0.7560 0.2499 0.5061
Tm8 Tm 0.7562 0.7501 0.0061
# total magnetic moment = 0.00 μB per atom
# space-group type = Imma
# uncorrected energy = -4.23 eV per atom
# crystal system = orthorhombic
# formation energy = 0.41 eV/atom
# Fermi-level density of states = 38.1 states/eV per cell

***

2.
# Ba6Ag2NO | Alexandria | PBE-GGA | relaxed
data_Ba6Ag2NO
_cell_length_a 7.8289
_cell_length_b 7.8289
_cell_length_c 7.8391
_cell_angle_alpha 120.01
_cell_angle_beta 120.01
_cell_angle_gamma 60.25
_space_group_name_H-M_alt 'P 1'
_space_group_IT_number 1
loop_
_space_group_symop_operation_xyz
'x,y,z'
loop_
_atom_site_label
_atom_site_type_symbol
_atom_site_fract_x
_atom_site_fract_y
_atom_site_fract_z
Ba1 Ba 0.2099 0.7130 0.7095
Ba2 Ba 0.2477 0.2477 0.8224
Ba3 Ba 0.2870 0.7901 0.2905
Ba4 Ba 0.7130 0.2099 0.7095
Ba5 Ba 0.7523 0.7523 0.1776
Ba6 Ba 0.7901 0.2870 0.2905
Ag1 Ag 0.2496 0.2496 0.2583
Ag2 Ag 0.7504 0.7504 0.7417
N1 N 0.0000 0.0000 0.5000
O1 O 0.5000 0.5000 0.0000
# total magnetic moment = 0.00 μB per atom
# raw formation energy = -659.4 meV/atom
# space-group type = C2/m
# uncorrected energy = -3.71 eV per atom
# crystal system = monoclinic
# Fermi-level density of states = 7.7 states/eV per cell

***

3.
# ScPBr | Alexandria | PBE-GGA | relaxed
data_ScPBr
_cell_length_a 6.5521
_cell_length_b 6.5521
_cell_length_c 6.5521
_cell_angle_alpha 90.00
_cell_angle_beta 90.00
_cell_angle_gamma 90.00
_space_group_name_H-M_alt 'P 1'
_space_group_IT_number 1
loop_
_space_group_symop_operation_xyz
'x,y,z'
loop_
_atom_site_label
_atom_site_type_symbol
_atom_site_fract_x
_atom_site_fract_y
_atom_site_fract_z
Sc1 Sc 0.0000 0.0000 0.0000
Sc2 Sc 0.0000 0.5000 0.5000
Sc3 Sc 0.5000 0.0000 0.5000
Sc4 Sc 0.5000 0.5000 0.0000
P1 P 0.2500 0.2500 0.2500
P2 P 0.2500 0.7500 0.7500
P3 P 0.7500 0.2500 0.7500
P4 P 0.7500 0.7500 0.2500
Br1 Br 0.0000 0.0000 0.5000
Br2 Br 0.0000 0.5000 0.0000
Br3 Br 0.5000 0.0000 0.0000
Br4 Br 0.5000 0.5000 0.5000
# total magnetic moment = 0.00 μB per atom
# raw formation energy = -129.7 meV/atom
# space-group type = F-43m
# uncorrected energy = -4.60 eV per atom
# crystal system = cubic
# energy relative to the lowest polymorph listed for this composition = 68.2 kJ per mole of atoms
# Fermi-level density of states = 18.4 states/eV per cell

***

4.
# Ba2LaAs | Alexandria | PBE-GGA | relaxed
data_Ba2LaAs
_cell_length_a 4.8869
_cell_length_b 4.8869
_cell_length_c 11.7888
_cell_angle_alpha 90.00
_cell_angle_beta 90.00
_cell_angle_gamma 90.00
_space_group_name_H-M_alt 'P 1'
_space_group_IT_number 1
loop_
_space_group_symop_operation_xyz
'x,y,z'
loop_
_atom_site_label
_atom_site_type_symbol
_atom_site_fract_x
_atom_site_fract_y
_atom_site_fract_z
Ba1 Ba 0.0000 0.5000 0.2500
Ba2 Ba 0.0000 0.5000 0.7500
Ba3 Ba 0.5000 0.0000 0.2500
Ba4 Ba 0.5000 0.0000 0.7500
La1 La 0.0000 0.0000 0.0000
La2 La 0.5000 0.5000 0.5000
As1 As 0.0000 0.0000 0.5000
As2 As 0.5000 0.5000 0.0000
# total magnetic moment = 0.00 μB per atom
# space-group type = I4/mmm
# uncorrected energy = -3.61 eV per atom
# crystal system = tetragonal
# formation energy = -0.25 eV/atom
# Fermi-level density of states = 9.6 states/eV per cell

***

| no. | V (Å³ per atom) |
| --- | --- |
| 1 | 33.217 |
| 2 | 34.034 |
| 3 | 23.441 |
| 4 | 35.192 |